No. 1
! La2ScFe, optimized geometry, DFT PBE; values from VASP
&SYSTEM
  ibrav = 0, nat = 4, ntyp = 3
/
ATOMIC_SPECIES
Fe 55.84 Fe.upf
La 138.91 La.upf
Sc 44.96 Sc.upf
ATOMIC_POSITIONS crystal
Fe 0.5000 0.5000 0.5000
La 0.0000 0.0000 0.0000
La 0.2500 0.2500 0.2500
Sc 0.7500 0.7500 0.7500
CELL_PARAMETERS angstrom
-2.3123 3.7234 2.8200
-0.6453 -0.6399 5.1320
2.7973 2.8453 3.3529
! N(E_F): 1.85 states/eV per atom
! E_tot: -23.19 eV for the cell shown


No. 2
! LiBSe2, optimized geometry, DFT PBE; values from VASP
&SYSTEM
  ibrav = 0, nat = 8, ntyp = 3
/
ATOMIC_SPECIES
B 10.81 B.upf
Se 78.96 Se.upf
Li 6.94 Li.upf
ATOMIC_POSITIONS crystal
B 0.3771 0.6229 0.2500
B 0.6229 0.3771 0.7500
Se 0.3059 0.6941 0.2500
Se 0.6941 0.3059 0.7500
Se 0.9185 0.0815 0.2500
Se 0.0815 0.9185 0.7500
Li 0.1973 0.8027 0.2500
Li 0.8027 0.1973 0.7500
CELL_PARAMETERS angstrom
1.6734 -13.6749 0.0000
1.6734 13.6749 0.0000
0.0000 0.0000 4.0909
! formation energy (no corrections): -0.420 eV/atom
! N(E_F): 0.31 states/eV per atom


No. 3
! AlFe3H, optimized geometry, DFT PBE; values from VASP
&SYSTEM
  ibrav = 0, nat = 5, ntyp = 3
/
ATOMIC_SPECIES
H 1.01 H.upf
Fe 55.84 Fe.upf
Al 26.98 Al.upf
ATOMIC_POSITIONS crystal
H 0.8893 0.8893 0.8893
Fe 0.7290 0.1504 0.7290
Fe 0.1504 0.7290 0.7290
Fe 0.7290 0.7290 0.1504
Al 0.3772 0.3772 0.3772
CELL_PARAMETERS angstrom
-0.9502 1.5402 4.0432
3.7029 -2.4287 -0.1138
-0.1277 3.1304 -3.1317
! N(E_F): 0.73 states/eV per atom
! E_tot: -31.07 eV for the cell shown


No. 4
! LaDy2Pu, optimized geometry, DFT PBE; values from VASP
&SYSTEM
  ibrav = 0, nat = 4, ntyp = 3
/
ATOMIC_SPECIES
Dy 162.50 Dy.upf
La 138.91 La.upf
Pu 244.00 Pu.upf
ATOMIC_POSITIONS crystal
Dy 0.0000 0.0000 0.5000
Dy 0.0000 0.5000 0.0000
La 0.5000 0.0000 0.0000
Pu 0.5000 0.5000 0.5000
CELL_PARAMETERS angstrom
-1.9687 -0.5669 3.1270
4.8337 -1.8973 2.6992
1.1777 5.4646 1.7322
! N(E_F): 3.54 states/eV per atom
! E_tot: -27.64 eV for the cell shown


No. 5
! YCu2P, optimized geometry, DFT PBE; values from VASP
&SYSTEM
  ibrav = 0, nat = 4, ntyp = 3
/
ATOMIC_SPECIES
Cu 63.55 Cu.upf
P 30.97 P.upf
Y 88.91 Y.upf
ATOMIC_POSITIONS crystal
Cu 0.0000 0.0000 0.0284
Cu 0.0000 0.0000 0.4716
P 0.5000 0.5000 0.2500
Y 0.5000 0.5000 0.7500
CELL_PARAMETERS angstrom
-1.4364 2.6943 1.8539
-3.2099 -1.5486 -0.2412
0.9511 -2.6965 4.6558
! N(E_F): 0.17 states/eV per atom
! E_tot: -20.69 eV for the cell shown


No. 6
! CsIn2Hg10, optimized geometry, DFT PBE; values from VASP
&SYSTEM
  ibrav = 0, nat = 13, ntyp = 3
/
ATOMIC_SPECIES
Cs 132.91 Cs.upf
In 114.82 In.upf
Hg 200.59 Hg.upf
ATOMIC_POSITIONS crystal
Cs 0.0000 0.0000 0.0000
In 0.0000 0.5000 0.0000
In 0.5000 0.5000 0.0000
Hg 0.3552 0.6454 0.6442
Hg 0.6448 0.3546 0.3558
Hg 0.0006 0.3546 0.6442
Hg 0.9994 0.6454 0.3558
Hg 0.0000 0.0000 0.5000
Hg 0.5000 0.0000 0.5000
Hg 0.2686 0.2297 0.2332
Hg 0.7314 0.7703 0.7668
Hg 0.4983 0.7703 0.2332
Hg 0.5017 0.2297 0.7668
CELL_PARAMETERS angstrom
-3.4368 -3.4559 4.1174
2.6087 -8.2360 0.2082
3.2190 -0.0237 7.6103
! N(E_F): 0.29 states/eV per atom
! E_tot: -10.28 eV for the cell shown


No. 7
! AcCdI, optimized geometry, DFT PBE; values from VASP
&SYSTEM
  ibrav = 0, nat = 6, ntyp = 3
/
ATOMIC_SPECIES
Ac 227.00 Ac.upf
Cd 112.41 Cd.upf
I 126.90 I.upf
ATOMIC_POSITIONS crystal
Ac 0.9982 0.9982 0.6772
Ac 0.0018 0.0018 0.3228
Cd 0.6666 0.6666 0.5076
Cd 0.3334 0.3334 0.4924
I 0.6701 0.6701 0.1533
I 0.3299 0.3299 0.8467
CELL_PARAMETERS angstrom
-4.7014 0.3197 -1.0913
-3.3341 -1.2060 3.2902
-0.2379 11.5684 4.1024
! formation energy (no corrections): -0.828 eV/atom
! N(E_F): 0.76 states/eV per atom


No. 8
! Ga4AgPd, optimized geometry, DFT PBE; values from VASP
&SYSTEM
  ibrav = 0, nat = 12, ntyp = 3
/
ATOMIC_SPECIES
Ga 69.72 Ga.upf
Ag 107.87 Ag.upf
Pd 106.42 Pd.upf
ATOMIC_POSITIONS crystal
Ga 0.0343 0.7702 0.5559
Ga 0.2299 0.9657 0.9441
Ga 0.4752 0.7114 0.4440
Ga 0.2886 0.5248 0.0560
Ga 0.9657 0.2298 0.4441
Ga 0.5248 0.2886 0.5560
Ga 0.7701 0.0343 0.0559
Ga 0.7114 0.4752 0.9440
Ag 0.8750 0.1250 0.7500
Ag 0.1250 0.8750 0.2500
Pd 0.3754 0.6246 0.7500
Pd 0.6246 0.3754 0.2500
CELL_PARAMETERS angstrom
5.6041 0.1920 -1.2248
-2.6251 4.9548 -1.2254
-0.1845 -0.3196 7.6855
! N(E_F): 0.24 states/eV per atom
! E_tot: -42.65 eV for the cell shown


No. 9
! Zn2Cr2Cd, optimized geometry, DFT PBE; values from VASP
&SYSTEM
  ibrav = 0, nat = 10, ntyp = 3
/
ATOMIC_SPECIES
Cr 52.00 Cr.upf
Zn 65.41 Zn.upf
Cd 112.41 Cd.upf
ATOMIC_POSITIONS crystal
Cr 0.4036 0.9036 0.0000
Cr 0.9036 0.5964 0.0000
Cr 0.5964 0.0964 0.0000
Cr 0.0964 0.4036 0.0000
Zn 0.1938 0.6938 0.5000
Zn 0.6938 0.8062 0.5000
Zn 0.8062 0.3062 0.5000
Zn 0.3062 0.1938 0.5000
Cd 0.0000 0.0000 0.0000
Cd 0.5000 0.5000 0.0000
CELL_PARAMETERS angstrom
6.9986 0.0000 0.0000
0.0000 6.9986 0.0000
0.0000 0.0000 3.1543
! N(E_F): 0.86 states/eV per atom
! E_tot: -41.64 eV for the cell shown


No. 10
! RbZrTcRh2, optimized geometry, DFT PBE; values from VASP
&SYSTEM
  ibrav = 0, nat = 5, ntyp = 4
/
ATOMIC_SPECIES
Rb 85.47 Rb.upf
Rh 102.91 Rh.upf
Tc 98.00 Tc.upf
Zr 91.22 Zr.upf
ATOMIC_POSITIONS crystal
Rb 0.0000 0.5000 0.0000
Rh 0.0000 0.0000 0.5000
Rh 0.5000 0.0000 0.0000
Tc 0.5000 0.5000 0.5000
Zr 0.0000 0.0000 0.0000
CELL_PARAMETERS angstrom
-1.2689 -4.3877 -1.5990
3.6450 0.4798 -4.2090
3.4418 -1.9986 2.7529
! N(E_F): 0.97 states/eV per atom
! E_tot: -26.21 eV for the cell shown


No. 11
! NaSnMoH, optimized geometry, DFT PBE; values from VASP
&SYSTEM
  ibrav = 0, nat = 8, ntyp = 4
/
ATOMIC_SPECIES
Na 22.99 Na.upf
Sn 118.71 Sn.upf
Mo 95.94 Mo.upf
H 1.01 H.upf
ATOMIC_POSITIONS crystal
Na 0.0000 0.0000 0.9585
Na 0.0000 0.5000 0.4585
Sn 0.5000 0.0000 0.6302
Sn 0.5000 0.5000 0.1302
Mo 0.5000 0.0000 0.2934
Mo 0.5000 0.5000 0.7934
H 0.0000 0.0000 0.2386
H 0.0000 0.5000 0.7386
CELL_PARAMETERS angstrom
-0.3427 -2.8003 -1.4861
-0.7744 -1.1979 2.4359
-14.8771 3.4343 -3.0408
! N(E_F): 0.49 states/eV per atom
! E_tot: -35.50 eV for the cell shown


No. 12
! KAc2NpS5, optimized geometry, DFT PBE; values from VASP
&SYSTEM
  ibrav = 0, nat = 9, ntyp = 4
/
ATOMIC_SPECIES
K 39.10 K.upf
Ac 227.00 Ac.upf
Np 237.00 Np.upf
S 32.06 S.upf
ATOMIC_POSITIONS crystal
K 0.0000 0.5000 0.0000
Ac 0.2064 0.2064 0.4128
Ac 0.7936 0.7936 0.5872
Np 0.5000 0.0000 0.0000
S 0.6476 0.9146 0.2951
S 0.3524 0.0854 0.7049
S 0.3524 0.6195 0.7049
S 0.6476 0.3805 0.2951
S 0.0000 0.0000 0.0000
CELL_PARAMETERS angstrom
-0.5223 -2.0996 4.6099
6.4010 -3.6797 -0.9508
0.7299 8.5044 1.1434
! formation energy (no corrections): -1.745 eV/atom
! N(E_F): 1.18 states/eV per atom


Please write out number 1 again, unchanged.
! La2ScFe, optimized geometry, DFT PBE; values from VASP
&SYSTEM
  ibrav = 0, nat = 4, ntyp = 3
/
ATOMIC_SPECIES
Fe 55.84 Fe.upf
La 138.91 La.upf
Sc 44.96 Sc.upf
ATOMIC_POSITIONS crystal
Fe 0.5000 0.5000 0.5000
La 0.0000 0.0000 0.0000
La 0.2500 0.2500 0.2500
Sc 0.7500 0.7500 0.7500
CELL_PARAMETERS angstrom
-2.3123 3.7234 2.8200
-0.6453 -0.6399 5.1320
2.7973 2.8453 3.3529
! N(E_F): 1.85 states/eV per atom
! E_tot: -23.19 eV for the cell shown